# PBE-GGA TmAgAsO, relaxed
# **Raw total energy**: -5.496 eV per atom
# **Magnetic moment**: 0.0 Bohr magnetons per cell
# **Theoretical density**: 8.154 Mg/m³
data_TmAgAsO
_cell_length_a 4.1771
_cell_length_b 6.2598
_cell_length_c 5.7277
_cell_angle_alpha 90.00
_cell_angle_beta 90.00
_cell_angle_gamma 90.00
_space_group_name_H-M_alt 'P m c 21'
_space_group_IT_number 26
_space_group_name_Hall 'P 2c -2'
loop_
_atom_site_label
_atom_site_type_symbol
_atom_site_fract_x
_atom_site_fract_y
_atom_site_fract_z
Tm1 Tm 0.0000 0.2450 0.0000
Ag1 Ag 0.5000 0.1424 0.4427
As1 As 0.5000 0.4759 0.7310
O1 O 0.0000 0.0271 0.2849